# 1
First-principles (GGA-PBE) data for crystalline VHPd3 at its relaxed geometry, as listed in Alexandria.

## Properties
DOS(E_F) = 0.806 states/eV/atom
total magnetic moment = 0.00 μB per formula unit
polymorph energy (0 for the lowest one) = 1.6 kJ per mole of atoms
raw total energy = -28.7 eV/f.u.

Cell: 2.789 4.839 9.786 Å, 96.45 106.51 90.00°
Element x y z (fractional)
Pd  0.788  0.512  0.448
Pd  0.332  0.696  0.989
Pd  0.287  0.004  0.448
Pd  0.536  0.146  0.196
Pd  0.079  0.330  0.737
Pd  0.580  0.838  0.737
V  0.064  0.646  0.223
V  0.803  0.196  0.963
H  0.981  0.654  0.637
H  0.886  0.187  0.548

=====

# 2
First-principles (GGA-PBE) data for crystalline VHPd2 at its relaxed geometry, as listed in Alexandria.

## Properties
DOS(E_F) = 1.053 states/eV/atom
total magnetic moment = 1.94 μB per formula unit
polymorph energy (0 for the lowest one) = 35.2 kJ per mole of atoms
raw total energy = -21.3 eV/f.u.

Cell: 4.182 4.182 4.182 Å, 60.00 60.00 60.00°
Last column: magnetic moment on the atom in μB.
Element x y z (fractional)
Pd  0.750  0.750  0.750  0.13
Pd  0.250  0.250  0.250  0.13
H  0.000  0.000  0.000  -0.01
V  0.500  0.500  0.500  1.53

=====

# 3
First-principles (GGA-PBE) data for crystalline VH3Pd at its relaxed geometry, as listed in Alexandria.

## Properties
DOS(E_F) = 0.524 states/eV/atom
total magnetic moment = 3.27 μB per formula unit
raw total energy = -23.6 eV/f.u.

Cell: 3.511 3.511 3.511 Å, 90.00 90.00 90.00°
Last column: magnetic moment on the atom in μB.
Element x y z (fractional)
H  0.000  0.500  0.000  -0.02
H  0.000  0.000  0.500  -0.02
H  0.500  0.000  0.000  -0.02
Pd  0.000  0.000  0.000  0.08
V  0.500  0.500  0.500  2.78

=====

# 4
First-principles (GGA-PBE) data for crystalline VH2Pd2 at its relaxed geometry, as listed in Alexandria.

## Properties
DOS(E_F) = 0.288 states/eV/atom
total magnetic moment = 0.00 μB per formula unit
polymorph energy (0 for the lowest one) = 0.0 kJ per mole of atoms
raw total energy = -26.2 eV/f.u.

Cell: 2.826 2.826 6.599 Å, 77.64 77.64 90.00°
Element x y z (fractional)
V  0.000  0.000  0.000
Pd  0.649  0.649  0.702
Pd  0.351  0.351  0.298
H  0.750  0.250  0.500
H  0.250  0.750  0.500